{
  "formula": "SrZr2Au",
  "functional": "PBE-GGA",
  "state": "optimized geometry",
  "de_polymorph_ev_per_atom": 0.3148,
  "total_energy_ev_per_atom": -5.3899,
  "formation_energy_mev_per_atom": 124,
  "cell": [[-1.172, -0.002, 2.997], [-1.433, -2.826, -0.561], [8.153, -4.767, 3.184]],
  "species": ["Au", "Sr", "Zr", "Zr"],
  "frac_coords": [[0.500, 0.500, 0.250], [0.500, 0.500, 0.750], [0.000, 0.000, 0.056], [0.000, 0.000, 0.444]]
}